LiCr2O after structural relaxation. Source: the Alexandria database, functional GGA+U.

Cell: 6.370 6.370 9.224 Å, 90.00 90.00 90.00°
Space group I4_1/amd (No. 141, origin choice 2)
Unique sites:
Li 0.000 0.250 0.375
Cr 0.000 0.000 0.000
O 0.000 0.250 0.875

## Properties
E, eV/atom: -5.878
N(E_F), states/eV per atom: 0.354